# V2PdRh PBE-GGA relaxed
data_V2PdRh
_chemical_formula_sum 'V4 Pd2 Rh2'
_cell_length_a 5.4797
_cell_length_b 5.4797
_cell_length_c 5.4797
_cell_angle_alpha 103.56
_cell_angle_beta 103.56
_cell_angle_gamma 122.09
_symmetry_space_group_name_H-M 'P 1'
_symmetry_Int_Tables_number 1
_symmetry_space_group_name_Hall 'P 1'
loop_
_atom_site_label
_atom_site_type_symbol
_atom_site_fract_x
_atom_site_fract_y
_atom_site_fract_z
_atom_site_occupancy
V1 V 0.1098 0.6250 0.9848 1
V2 V 0.3750 0.3598 0.4848 1
V3 V 0.6402 0.1250 0.0152 1
V4 V 0.8750 0.8902 0.5152 1
Pd1 Pd 0.2500 0.7500 0.5000 1
Pd2 Pd 0.5000 0.5000 0.0000 1
Rh1 Rh 0.0000 0.0000 0.0000 1
Rh2 Rh 0.7500 0.2500 0.5000 1
# VASP energy, Ha/atom: -0.27592
# Energy of formation from the pure elements, eV per atom: 0.19
# Density, g/cm3: 8.47

***

# Cu2PdPt3 PBE-GGA relaxed
data_Cu2PdPt3
_chemical_formula_sum 'Cu4 Pd2 Pt6'
_cell_length_a 4.7402
_cell_length_b 4.7402
_cell_length_c 8.6802
_cell_angle_alpha 100.58
_cell_angle_beta 100.58
_cell_angle_gamma 108.90
_symmetry_space_group_name_H-M 'P 1'
_symmetry_Int_Tables_number 1
_symmetry_space_group_name_Hall 'P 1'
loop_
_atom_site_label
_atom_site_type_symbol
_atom_site_fract_x
_atom_site_fract_y
_atom_site_fract_z
_atom_site_occupancy
Cu1 Cu 0.0425 0.2924 0.0844 1
Cu2 Cu 0.2924 0.0425 0.5844 1
Cu3 Cu 0.7076 0.9575 0.4156 1
Cu4 Cu 0.9575 0.7076 0.9156 1
Pd1 Pd 0.1248 0.8752 0.2500 1
Pd2 Pd 0.8752 0.1248 0.7500 1
Pt1 Pt 0.2110 0.4609 0.4217 1
Pt2 Pt 0.3747 0.6253 0.7500 1
Pt3 Pt 0.4609 0.2110 0.9217 1
Pt4 Pt 0.5391 0.7890 0.0783 1
Pt5 Pt 0.6253 0.3747 0.2500 1
Pt6 Pt 0.7890 0.5391 0.5783 1
# VASP energy, Ha/atom: -0.19698
# Energy of formation from the pure elements, eV per atom: -0.11
# Offset from the most stable computed form, eV per atom: 0.000
# Density, g/cm3: 15.53

***

- Which formula does entry 1 have?
  V2PdRh